Record 1
First-principles (GGA-PBE) data for a relaxed structure of PrB2Cl8, as listed in Alexandria.

Calculated values
* SG: C2/m (12)

The structure in POSCAR format:
```
PrB2Cl8
1.0
6.200 -4.872 0.000
6.200 4.872 0.000
-1.232 0.000 5.919
Pr B Cl
1 2 8
Direct
0.000 0.000 0.000
0.206 0.206 0.667
0.794 0.794 0.333
0.026 0.716 0.257
0.198 0.198 0.346
0.284 0.974 0.743
0.348 0.348 0.807
0.652 0.652 0.193
0.716 0.026 0.257
0.802 0.802 0.654
0.974 0.284 0.743
```


Record 2
First-principles (GGA-PBE) data for a relaxed structure of Pr8BS3Cl4, as listed in Alexandria.

Calculated values
* SG: R-3m (166)

The structure in POSCAR format:
```
Pr8BS3Cl4
1.0
4.100 2.367 6.934
-4.100 2.367 6.934
0.000 -4.734 6.934
Pr B S Cl
8 1 3 4
Direct
0.238 0.238 0.238
0.255 0.728 0.728
0.272 0.272 0.745
0.272 0.745 0.272
0.728 0.255 0.728
0.728 0.728 0.255
0.745 0.272 0.272
0.762 0.762 0.762
0.500 0.500 0.500
0.000 0.000 0.500
0.000 0.500 0.000
0.500 0.000 0.000
0.000 0.000 0.000
0.000 0.500 0.500
0.500 0.000 0.500
0.500 0.500 0.000
```


Record 3
First-principles (GGA-PBE) data for a relaxed structure of BPtCl2, as listed in Alexandria.

Calculated values
* SG: Fm-3m (225)

The structure in POSCAR format:
```
BPtCl2
1.0
0.000 3.231 3.231
3.231 0.000 3.231
3.231 3.231 0.000
B Pt Cl
1 1 2
Direct
0.000 0.000 0.000
0.500 0.500 0.500
0.250 0.250 0.250
0.750 0.750 0.750
```


Record 4
First-principles (GGA-PBE) data for a relaxed structure of BPtCl2, as listed in Alexandria.

Calculated values
* SG: R-3m (166)

The structure in POSCAR format:
```
BPtCl2
1.0
1.494 0.862 9.528
-1.494 0.862 9.528
0.000 -1.725 9.528
B Pt Cl
1 1 2
Direct
0.000 0.000 0.000
0.500 0.500 0.500
0.058 0.058 0.058
0.942 0.942 0.942
```


no.,DFT total energy (eV/atom),E_form (uncorrected) (eV per atom)
1,-4.137,-1.146
2,-5.597,-1.554
3,-2.755,1.348
4,-3.509,0.594